A plane-wave DFT calculation with GGA-PBE was carried out for AlFe after structural relaxation.

Output
Final energy in eV/f.u.: -11.42
Calculated formation energy in eV/f.u.: 0.78

Cell lengths 3.456, 3.456, 3.456 Å; angles 60.00, 60.00, 60.00 degrees
Sites, in units of the cell vectors:
1 Al 0.000 0.000 0.000
2 Fe 0.500 0.500 0.500


A plane-wave DFT calculation with GGA-PBE was carried out for Al6Fe7 after structural relaxation.

Output
Final energy in eV/f.u.: -84.33
Calculated formation energy in eV/f.u.: -2.63

Cell lengths 8.766, 8.766, 8.766 Å; angles 32.12, 32.12, 32.12 degrees
Sites, in units of the cell vectors:
1 Al 0.052 0.052 0.052
2 Al 0.155 0.155 0.155
3 Al 0.333 0.333 0.333
4 Al 0.667 0.667 0.667
5 Al 0.845 0.845 0.845
6 Al 0.948 0.948 0.948
7 Fe 0.086 0.589 0.589
8 Fe 0.411 0.411 0.914
9 Fe 0.411 0.914 0.411
10 Fe 0.500 0.500 0.500
11 Fe 0.589 0.086 0.589
12 Fe 0.589 0.589 0.086
13 Fe 0.914 0.411 0.411


A plane-wave DFT calculation with GGA-PBE was carried out for Al5Fe4 after structural relaxation.

Output
Final energy in eV/f.u.: -54.06
Calculated formation energy in eV/f.u.: -1.50
Distance to the lowest polymorph of the same formula in eV/atom: 0.000

Cell lengths 7.305, 7.305, 5.029 Å; angles 90.00, 90.00, 120.00 degrees
Sites, in units of the cell vectors:
1 Al 0.000 0.295 0.250
2 Al 0.000 0.705 0.750
3 Al 0.295 0.000 0.250
4 Al 0.295 0.295 0.750
5 Al 0.333 0.667 0.000
6 Al 0.333 0.667 0.500
7 Al 0.667 0.333 0.000
8 Al 0.667 0.333 0.500
9 Al 0.705 0.000 0.750
10 Al 0.705 0.705 0.250
11 Fe 0.000 0.000 0.000
12 Fe 0.000 0.000 0.500
13 Fe 0.000 0.372 0.750
14 Fe 0.000 0.628 0.250
15 Fe 0.372 0.000 0.750
16 Fe 0.372 0.372 0.250
17 Fe 0.628 0.000 0.250
18 Fe 0.628 0.628 0.750


Number 1: total magnetization 0.93 μB/atom. Number 2: total magnetization 0.98 μB/atom. Number 3: total magnetization 0.69 μB/atom.